The following is a PBE calculation of an optimized crystal structure of NdPuCrN3, from Alexandria.

**Raw formation energy**: -93.2 kJ per mole of atoms

Cell: 7.3017 3.4367 7.4170 Å, 90.00 97.55 90.00°
Last column: nearest neighbours and their distance in Å.
Space group P2_1/m (No. 11)
Asymmetric unit:
Nd (0.1664, 0.2500, 0.1780) [2 per cell]  5 N 2.45-2.71
Pu (0.3629, 0.7500, 0.8265) [2 per cell]  5 N 2.25-2.47
Cr (0.0860, 0.2500, 0.5928) [2 per cell]  4 N 1.85-1.93
N (0.1235, 0.2500, 0.8446) [2 per cell]  1 Cr 1.85
N (0.1646, 0.7500, 0.5112) [2 per cell]  3 Cr 1.89-1.93
N (0.4134, 0.7500, 0.1329) [2 per cell]  3 Pu 2.25-2.36

The following is a PBE calculation of an optimized crystal structure of ScOsBr4, from Alexandria.

**Raw formation energy**: 117.7 kJ per mole of atoms

Cell: 8.5559 8.5559 8.5559 Å, 90.00 90.00 90.00°
Last column: nearest neighbours and their distance in Å.
Space group F-43m (No. 216)
Asymmetric unit:
Sc (0.0000, 0.0000, 0.0000) [4 per cell]  12 Br 3.55, 4 Os 3.70
Os (0.2500, 0.2500, 0.2500) [4 per cell]  12 Br 3.55, 4 Sc 3.70
Br (0.1248, 0.1248, 0.6248) [16 per cell]  6 Br 3.02-3.03

Fermi-level density of states
In order: 1.3753 1.8098
Unit: states/eV per atom
Size of the total moment
In order: 9.95 11.89
Unit: Bohr magnetons per cell
Calculated total energy
In order: -9.916 -2.822
Unit: eV per atom